1.
Material: ScNi2IrPb
Method: DFT, PBE
State: relaxed

Geometry as CIF:
```
data_ScNi2IrPb
_chemical_formula_sum 'Sc1 Ni2 Ir1 Pb1'
_cell_length_a 4.607
_cell_length_b 4.607
_cell_length_c 5.348
_cell_angle_alpha 90.00
_cell_angle_beta 90.00
_cell_angle_gamma 90.00
_space_group_name_H-M_alt 'P 4/m m m'
_space_group_IT_number 123
_space_group_name_Hall '-P 4 2'
loop_
_atom_site_label
_atom_site_fract_x
_atom_site_fract_y
_atom_site_fract_z
Sc1 0.000 0.000 0.000
Ni1 0.000 0.500 0.500
Ir1 0.500 0.500 0.000
Pb1 0.000 0.000 0.500
```

Summary:
Formation enthalpy at 0 K, eV/atom: 1.421
M_tot, μB/atom: 0.029
Mass density, kg/m³: 8218
D(E_F), states/eV per atom: 1.479

2.
Material: BaCeFeN3
Method: DFT, PBE
State: relaxed

Geometry as CIF:
```
data_BaCeFeN3
_chemical_formula_sum 'Ba2 Ce2 Fe2 N6'
_cell_length_a 7.744
_cell_length_b 3.557
_cell_length_c 7.888
_cell_angle_alpha 90.00
_cell_angle_beta 102.27
_cell_angle_gamma 90.00
_space_group_name_H-M_alt 'P 1 21/m 1'
_space_group_IT_number 11
_space_group_name_Hall '-P 2yb'
loop_
_atom_site_label
_atom_site_fract_x
_atom_site_fract_y
_atom_site_fract_z
Ba1 0.205 0.250 0.184
Ce1 0.168 0.250 0.646
Fe1 0.407 0.750 0.927
N1 0.135 0.750 0.442
N2 0.167 0.750 0.858
N3 0.464 0.250 0.852
```

Summary:
M_tot, μB/atom: 0.150
Mass density, kg/m³: 5871
D(E_F), states/eV per atom: 0.411
Energy relative to the elements, uncorrected, meV per atom: -771

3.
Material: HgTeAu2
Method: DFT, PBE
State: relaxed

Geometry as CIF:
```
data_HgTeAu2
_chemical_formula_sum 'Hg2 Te2 Au4'
_cell_length_a 7.752
_cell_length_b 7.775
_cell_length_c 2.977
_cell_angle_alpha 90.00
_cell_angle_beta 90.00
_cell_angle_gamma 90.00
_space_group_name_H-M_alt 'C m m m'
_space_group_IT_number 65
_space_group_name_Hall '-C 2 2'
loop_
_atom_site_label
_atom_site_fract_x
_atom_site_fract_y
_atom_site_fract_z
Hg1 0.000 0.000 0.000
Te1 0.000 0.500 0.000
Au1 0.250 0.250 0.500
```

Summary:
M_tot, μB/atom: 0.000
Mass density, kg/m³: 13368
D(E_F), states/eV per atom: 0.151
Energy relative to the elements, uncorrected, meV per atom: 173

4.
Material: KBa2Si2
Method: DFT, PBE
State: relaxed

Geometry as CIF:
```
data_KBa2Si2
_chemical_formula_sum 'K2 Ba4 Si4'
_cell_length_a 8.735
_cell_length_b 8.735
_cell_length_c 4.858
_cell_angle_alpha 90.00
_cell_angle_beta 90.00
_cell_angle_gamma 90.00
_space_group_name_H-M_alt 'P 4/m b m'
_space_group_IT_number 127
_space_group_name_Hall '-P 4 2ab'
loop_
_atom_site_label
_atom_site_fract_x
_atom_site_fract_y
_atom_site_fract_z
K1 0.000 0.000 0.000
Ba1 0.177 0.323 0.500
Si1 0.094 0.594 0.000
```

Summary:
M_tot, μB/atom: 0.065
Mass density, kg/m³: 3314
D(E_F), states/eV per atom: 0.790
Energy relative to the elements, uncorrected, meV per atom: -178

5.
Material: CaDy2Rh3
Method: DFT, PBE
State: relaxed

Geometry as CIF:
```
data_CaDy2Rh3
_chemical_formula_sum 'Ca1 Dy2 Rh3'
_cell_length_a 3.401
_cell_length_b 3.401
_cell_length_c 10.446
_cell_angle_alpha 90.00
_cell_angle_beta 90.00
_cell_angle_gamma 90.00
_space_group_name_H-M_alt 'P 4/m m m'
_space_group_IT_number 123
_space_group_name_Hall '-P 4 2'
loop_
_atom_site_label
_atom_site_fract_x
_atom_site_fract_y
_atom_site_fract_z
Ca1 0.000 0.000 0.000
Dy1 0.000 0.000 0.333
Rh1 0.500 0.500 0.181
Rh2 0.500 0.500 0.500
```

Summary:
Formation enthalpy at 0 K, eV/atom: -0.730
M_tot, μB/atom: 0.000
Mass density, kg/m³: 9259
D(E_F), states/eV per atom: 0.380

6.
Material: Sr5NdHg6
Method: DFT, PBE
State: relaxed

Geometry as CIF:
```
data_Sr5NdHg6
_chemical_formula_sum 'Sr10 Nd2 Hg12'
_cell_length_a 5.590
_cell_length_b 16.801
_cell_length_c 8.004
_cell_angle_alpha 90.00
_cell_angle_beta 90.00
_cell_angle_gamma 90.00
_space_group_name_H-M_alt 'C m m m'
_space_group_IT_number 65
_space_group_name_Hall '-C 2 2'
loop_
_atom_site_label
_atom_site_fract_x
_atom_site_fract_y
_atom_site_fract_z
Sr1 0.000 0.000 0.000
Sr2 0.000 0.332 0.500
Sr3 0.000 0.333 0.000
Nd1 0.000 0.000 0.500
Hg1 0.000 0.162 0.257
Hg2 0.000 0.500 0.263
```

Summary:
Formation enthalpy at 0 K, eV/atom: -0.523
M_tot, μB/atom: 0.000
Mass density, kg/m³: 7891
D(E_F), states/eV per atom: 0.646